{"formula": "AlFe3B", "functional": "SCAN", "state": "PBEsol geometry", "dos_at_fermi_per_ev_atom": 0.832, "e_above_lowest_polymorph_ev_per_fu": 0.00, "magmom_total_mub_per_atom": 0.89, "sg": "Pm-3m", "total_energy_ev_per_atom": -13.996, "formation_energy_ev_per_atom": -0.082, "lattice_angstrom": [[-0.007, 0.568, -3.723], [-3.650, -0.921, -0.133], [-0.930, 3.608, 0.553]], "species": ["B", "Fe", "Fe", "Fe", "Al"], "fractional_positions": [[0.000, 0.000, 0.000], [0.000, 0.500, 0.000], [0.000, 0.000, 0.500], [0.500, 0.000, 0.000], [0.500, 0.500, 0.500]]}

***

{"formula": "NaAl6Fe3Si6B3O31", "functional": "SCAN", "state": "PBEsol geometry", "dos_at_fermi_per_ev_atom": 0.112, "magmom_total_mub_per_atom": 0.08, "sg": "R3m", "total_energy_ev_per_atom": -10.434, "raw_formation_energy_ev_per_atom": -2.82, "lattice_angstrom": [[-4.307, -2.537, 5.129], [-1.636, -5.482, -7.418], [8.647, -0.869, 3.498]], "species": ["Na", "Al", "Al", "Al", "Al", "Al", "Al", "Fe", "Fe", "Fe", "Si", "Si", "Si", "Si", "Si", "Si", "B", "B", "B", "O", "O", "O", "O", "O", "O", "O", "O", "O", "O", "O", "O", "O", "O", "O", "O", "O", "O", "O", "O", "O", "O", "O", "O", "O", "O", "O", "O", "O", "O", "O"], "fractional_positions": [[0.768, 0.000, 0.000], [0.437, 0.334, 0.784], [0.103, 0.450, 0.666], [0.653, 0.216, 0.550], [0.437, 0.784, 0.334], [0.653, 0.550, 0.216], [0.103, 0.666, 0.450], [0.426, 0.186, 0.000], [0.240, 0.814, 0.814], [0.426, 0.000, 0.186], [0.999, 0.192, 0.810], [0.807, 0.618, 0.808], [0.189, 0.190, 0.382], [0.999, 0.810, 0.192], [0.189, 0.382, 0.190], [0.807, 0.808, 0.618], [0.437, 0.000, 0.670], [0.437, 0.670, 0.000], [0.767, 0.330, 0.330], [0.235, 0.000, 0.000], [0.448, 0.000, 0.822], [0.448, 0.822, 0.000], [0.626, 0.178, 0.178], [0.598, 0.378, 0.000], [0.220, 0.622, 0.622], [0.598, 0.000, 0.378], [0.815, 0.000, 0.708], [0.815, 0.708, 0.000], [0.107, 0.292, 0.292], [0.998, 0.267, 0.000], [0.731, 0.733, 0.733], [0.998, 0.000, 0.267], [0.229, 0.192, 0.819], [0.037, 0.628, 0.808], [0.410, 0.181, 0.372], [0.229, 0.819, 0.192], [0.410, 0.372, 0.181], [0.037, 0.808, 0.628], [0.929, 0.293, 0.717], [0.636, 0.424, 0.707], [0.213, 0.283, 0.576], [0.929, 0.717, 0.293], [0.213, 0.576, 0.283], [0.636, 0.707, 0.424], [0.505, 0.149, 0.670], [0.355, 0.520, 0.851], [0.835, 0.330, 0.480], [0.505, 0.670, 0.149], [0.835, 0.480, 0.330], [0.355, 0.851, 0.520]]}

***

{"formula": "AlFeB2Pb2O8", "functional": "SCAN", "state": "PBEsol geometry", "magmom_total_mub_per_atom": 0.07, "sg": "P2_1/c", "total_energy_ev_per_atom": -19.494, "raw_formation_energy_ev_per_atom": -2.20, "lattice_angstrom": [[-4.522, -3.042, 2.157], [3.503, -5.784, -0.813], [3.328, 0.947, 7.602]], "species": ["Pb", "Pb", "Pb", "Pb", "B", "B", "B", "B", "Al", "Al", "O", "O", "O", "O", "O", "O", "O", "O", "O", "O", "O", "O", "O", "O", "O", "O", "Fe", "Fe"], "fractional_positions": [[0.759, 0.548, 0.856], [0.741, 0.048, 0.644], [0.241, 0.452, 0.144], [0.259, 0.952, 0.356], [0.757, 0.776, 0.262], [0.743, 0.276, 0.238], [0.243, 0.224, 0.738], [0.257, 0.724, 0.762], [0.000, 0.500, 0.500], [0.500, 0.000, 0.000], [0.765, 0.680, 0.408], [0.735, 0.180, 0.092], [0.235, 0.320, 0.592], [0.265, 0.820, 0.908], [0.960, 0.826, 0.192], [0.540, 0.326, 0.308], [0.040, 0.174, 0.808], [0.460, 0.674, 0.692], [0.449, 0.171, 0.813], [0.051, 0.671, 0.687], [0.551, 0.829, 0.187], [0.949, 0.329, 0.313], [0.741, 0.893, 0.892], [0.759, 0.393, 0.608], [0.259, 0.107, 0.108], [0.241, 0.607, 0.392], [0.000, 0.000, 0.000], [0.500, 0.500, 0.500]]}

***

{"formula": "RbAlFe2B", "functional": "SCAN", "state": "PBEsol geometry", "dos_at_fermi_per_ev_atom": 0.940, "magmom_total_mub_per_atom": 0.94, "sg": "P4/mmm", "total_energy_ev_per_atom": -12.502, "formation_energy_ev_per_atom": 1.934, "lattice_angstrom": [[4.573, 0.000, 0.000], [0.000, 4.573, 0.000], [0.000, 0.000, 5.912]], "species": ["B", "Fe", "Fe", "Rb", "Al"], "fractional_positions": [[0.500, 0.500, 0.500], [0.000, 0.500, 0.000], [0.500, 0.000, 0.000], [0.000, 0.000, 0.500], [0.000, 0.000, 0.000]]}

***

{"formula": "AlGa3B", "functional": "SCAN", "state": "PBEsol geometry", "dos_at_fermi_per_ev_atom": 0.333, "magmom_total_mub_per_atom": 0.00, "sg": "Pm-3m", "total_energy_ev_per_atom": -12.276, "formation_energy_ev_per_atom": 0.568, "lattice_angstrom": [[4.350, 0.000, 0.000], [0.000, 4.350, 0.000], [0.000, 0.000, 4.350]], "species": ["B", "Al", "Ga", "Ga", "Ga"], "fractional_positions": [[0.000, 0.000, 0.000], [0.500, 0.500, 0.500], [0.000, 0.500, 0.000], [0.000, 0.000, 0.500], [0.500, 0.000, 0.000]]}

***

{"formula": "AlGeB2", "functional": "SCAN", "state": "PBEsol geometry", "dos_at_fermi_per_ev_atom": 0.538, "magmom_total_mub_per_atom": 0.00, "sg": "I-42d", "total_energy_ev_per_atom": -9.678, "formation_energy_ev_per_atom": 0.746, "lattice_angstrom": [[-2.302, 4.375, 1.528], [-1.234, -4.702, 2.843], [2.081, -0.548, 4.705]], "species": ["Ge", "Ge", "B", "B", "B", "B", "Al", "Al"], "fractional_positions": [[0.750, 0.500, 0.750], [0.000, 0.000, 0.000], [0.645, 0.750, 0.375], [0.105, 0.750, 0.875], [0.875, 0.250, 0.645], [0.375, 0.250, 0.105], [0.250, 0.500, 0.250], [0.500, 0.000, 0.500]]}

***

{"formula": "AlGe3B", "functional": "SCAN", "state": "PBEsol geometry", "dos_at_fermi_per_ev_atom": 0.325, "magmom_total_mub_per_atom": 0.00, "sg": "Pm-3m", "total_energy_ev_per_atom": -13.745, "formation_energy_ev_per_atom": 0.744, "lattice_angstrom": [[-1.942, 0.360, -3.882], [-2.265, -3.634, 0.796], [-3.173, 2.374, 1.808]], "species": ["Ge", "Ge", "Ge", "B", "Al"], "fractional_positions": [[0.000, 0.500, 0.000], [0.000, 0.000, 0.500], [0.500, 0.000, 0.000], [0.000, 0.000, 0.000], [0.500, 0.500, 0.500]]}

***

{"formula": "Na4Al3Ge3BH4O12", "functional": "SCAN", "state": "PBEsol geometry", "dos_at_fermi_per_ev_atom": 0.000, "magmom_total_mub_per_atom": 0.00, "sg": "P-43n", "total_energy_ev_per_atom": -9.175, "lattice_angstrom": [[-3.789, -2.662, -7.762], [8.140, -0.145, -3.924], [1.031, -8.636, 2.458]], "species": ["Na", "Na", "Na", "Na", "Na", "Na", "Na", "Na", "Al", "Al", "Al", "Al", "Al", "Al", "Ge", "Ge", "Ge", "Ge", "Ge", "Ge", "B", "B", "H", "H", "H", "H", "H", "H", "H", "H", "O", "O", "O", "O", "O", "O", "O", "O", "O", "O", "O", "O", "O", "O", "O", "O", "O", "O", "O", "O", "O", "O", "O", "O"], "fractional_positions": [[0.829, 0.829, 0.171], [0.829, 0.171, 0.829], [0.171, 0.829, 0.829], [0.171, 0.171, 0.171], [0.329, 0.329, 0.671], [0.329, 0.671, 0.329], [0.671, 0.329, 0.329], [0.671, 0.671, 0.671], [0.750, 0.000, 0.500], [0.000, 0.500, 0.750], [0.250, 0.000, 0.500], [0.500, 0.250, 0.000], [0.500, 0.750, 0.000], [0.000, 0.500, 0.250], [0.750, 0.500, 0.000], [0.000, 0.750, 0.500], [0.250, 0.500, 0.000], [0.500, 0.000, 0.250], [0.500, 0.000, 0.750], [0.000, 0.250, 0.500], [0.000, 0.000, 0.000], [0.500, 0.500, 0.500], [0.579, 0.579, 0.421], [0.579, 0.421, 0.579], [0.079, 0.079, 0.921], [0.079, 0.921, 0.079], [0.421, 0.579, 0.579], [0.421, 0.421, 0.421], [0.921, 0.921, 0.921], [0.921, 0.079, 0.079], [0.576, 0.857, 0.143], [0.576, 0.143, 0.857], [0.857, 0.576, 0.143], [0.857, 0.424, 0.857], [0.857, 0.143, 0.576], [0.857, 0.857, 0.424], [0.076, 0.357, 0.643], [0.076, 0.643, 0.357], [0.143, 0.857, 0.576], [0.143, 0.143, 0.424], [0.143, 0.576, 0.857], [0.143, 0.424, 0.143], [0.357, 0.357, 0.924], [0.357, 0.643, 0.076], [0.357, 0.076, 0.643], [0.357, 0.924, 0.357], [0.424, 0.857, 0.857], [0.424, 0.143, 0.143], [0.643, 0.076, 0.357], [0.643, 0.924, 0.643], [0.643, 0.357, 0.076], [0.643, 0.643, 0.924], [0.924, 0.357, 0.357], [0.924, 0.643, 0.643]]}

***

{"formula": "NaMg2Al6VSi6B3H3O31", "functional": "SCAN", "state": "PBEsol geometry", "magmom_total_mub_per_atom": 0.04, "sg": "Cm", "total_energy_ev_per_atom": -9.791, "lattice_angstrom": [[-4.942, 0.376, -5.147], [8.126, -1.734, -4.667], [-2.886, -7.186, 5.575]], "species": ["Na", "Mg", "Mg", "Al", "Al", "Al", "Al", "Al", "Al", "V", "Si", "Si", "Si", "Si", "Si", "Si", "B", "B", "B", "H", "H", "H", "O", "O", "O", "O", "O", "O", "O", "O", "O", "O", "O", "O", "O", "O", "O", "O", "O", "O", "O", "O", "O", "O", "O", "O", "O", "O", "O", "O", "O", "O", "O"], "fractional_positions": [[0.772, 0.996, 0.000], [0.247, 0.816, 0.816], [0.431, 0.000, 0.184], [0.427, 0.334, 0.774], [0.094, 0.443, 0.666], [0.652, 0.224, 0.557], [0.428, 0.776, 0.334], [0.653, 0.559, 0.226], [0.095, 0.667, 0.443], [0.422, 0.178, 0.000], [0.001, 0.193, 0.811], [0.809, 0.618, 0.806], [0.192, 0.188, 0.382], [0.003, 0.811, 0.194], [0.190, 0.382, 0.189], [0.810, 0.806, 0.618], [0.440, 0.001, 0.669], [0.441, 0.670, 0.000], [0.771, 0.332, 0.331], [0.757, 0.388, 0.000], [0.366, 0.604, 0.604], [0.761, 0.999, 0.396], [0.921, 0.285, 0.713], [0.635, 0.428, 0.714], [0.207, 0.286, 0.572], [0.921, 0.714, 0.286], [0.208, 0.572, 0.287], [0.635, 0.714, 0.428], [0.499, 0.150, 0.666], [0.350, 0.517, 0.851], [0.833, 0.332, 0.481], [0.499, 0.666, 0.149], [0.833, 0.484, 0.334], [0.352, 0.851, 0.519], [0.464, 0.003, 0.816], [0.465, 0.815, 0.000], [0.648, 0.187, 0.184], [0.000, 0.282, 0.000], [0.721, 0.720, 0.720], [0.001, 0.000, 0.280], [0.833, 0.000, 0.720], [0.835, 0.720, 0.000], [0.113, 0.280, 0.280], [0.229, 0.013, 0.000], [0.234, 0.205, 0.820], [0.028, 0.614, 0.794], [0.415, 0.181, 0.386], [0.235, 0.821, 0.206], [0.414, 0.385, 0.180], [0.029, 0.795, 0.614], [0.623, 0.398, 0.000], [0.224, 0.597, 0.597], [0.626, 0.000, 0.403]]}

***

{"formula": "AlB5H16N2O14", "functional": "SCAN", "state": "PBEsol geometry", "dos_at_fermi_per_ev_atom": 0.000, "magmom_total_mub_per_atom": 0.00, "sg": "C222_1", "total_energy_ev_per_atom": -7.015, "lattice_angstrom": [[-4.326, 0.714, -5.339], [2.737, -5.936, -2.235], [-9.834, -7.174, 7.009]], "species": ["Al", "Al", "B", "B", "B", "B", "B", "B", "B", "B", "B", "B", "H", "H", "H", "H", "H", "H", "H", "H", "H", "H", "H", "H", "H", "H", "H", "H", "H", "H", "H", "H", "H", "H", "H", "H", "H", "H", "H", "H", "H", "H", "H", "H", "N", "N", "N", "N", "O", "O", "O", "O", "O", "O", "O", "O", "O", "O", "O", "O", "O", "O", "O", "O", "O", "O", "O", "O", "O", "O", "O", "O", "O", "O", "O", "O"], "fractional_positions": [[0.890, 0.890, 0.500], [0.110, 0.110, 0.000], [0.593, 0.792, 0.637], [0.792, 0.593, 0.363], [0.407, 0.208, 0.137], [0.208, 0.407, 0.863], [0.254, 0.812, 0.593], [0.812, 0.254, 0.407], [0.746, 0.188, 0.093], [0.188, 0.746, 0.907], [0.333, 0.667, 0.750], [0.667, 0.333, 0.250], [0.979, 0.250, 0.684], [0.250, 0.979, 0.316], [0.021, 0.750, 0.184], [0.750, 0.021, 0.816], [0.022, 0.491, 0.651], [0.491, 0.022, 0.349], [0.978, 0.509, 0.151], [0.509, 0.978, 0.849], [0.971, 0.908, 0.709], [0.908, 0.971, 0.291], [0.029, 0.092, 0.209], [0.092, 0.029, 0.791], [0.791, 0.367, 0.647], [0.367, 0.791, 0.353], [0.209, 0.633, 0.147], [0.633, 0.209, 0.853], [0.962, 0.311, 0.569], [0.311, 0.962, 0.431], [0.038, 0.689, 0.069], [0.689, 0.038, 0.931], [0.677, 0.561, 0.795], [0.561, 0.677, 0.205], [0.323, 0.439, 0.295], [0.439, 0.323, 0.705], [0.594, 0.670, 0.050], [0.670, 0.594, 0.950], [0.406, 0.330, 0.550], [0.330, 0.406, 0.450], [0.860, 0.512, 0.860], [0.512, 0.860, 0.140], [0.140, 0.488, 0.360], [0.488, 0.140, 0.640], [0.940, 0.359, 0.638], [0.359, 0.940, 0.362], [0.060, 0.641, 0.138], [0.641, 0.060, 0.862], [0.452, 0.877, 0.583], [0.877, 0.452, 0.417], [0.548, 0.123, 0.083], [0.123, 0.548, 0.917], [0.694, 0.694, 0.000], [0.306, 0.306, 0.500], [0.198, 0.701, 0.671], [0.701, 0.198, 0.329], [0.802, 0.299, 0.171], [0.299, 0.802, 0.829], [0.538, 0.699, 0.721], [0.699, 0.538, 0.279], [0.462, 0.301, 0.221], [0.301, 0.462, 0.779], [0.975, 0.025, 0.750], [0.025, 0.975, 0.250], [0.778, 0.806, 0.607], [0.806, 0.778, 0.393], [0.222, 0.194, 0.107], [0.194, 0.222, 0.893], [0.134, 0.861, 0.524], [0.861, 0.134, 0.476], [0.866, 0.139, 0.024], [0.139, 0.866, 0.976], [0.725, 0.469, 0.843], [0.469, 0.725, 0.157], [0.275, 0.531, 0.343], [0.531, 0.275, 0.657]]}

***

{"formula": "Hf2AlB", "functional": "SCAN", "state": "PBEsol geometry", "dos_at_fermi_per_ev_atom": 0.771, "magmom_total_mub_per_atom": 0.00, "sg": "I-42d", "total_energy_ev_per_atom": -35.077, "formation_energy_ev_per_atom": 0.055, "lattice_angstrom": [[-1.006, -3.364, 4.419], [3.532, -1.685, -4.067], [2.472, 4.560, 2.224]], "species": ["B", "B", "Hf", "Hf", "Hf", "Hf", "Al", "Al"], "fractional_positions": [[0.500, 0.500, 0.000], [0.750, 0.250, 0.500], [0.625, 0.578, 0.453], [0.125, 0.172, 0.547], [0.828, 0.375, 0.953], [0.422, 0.875, 0.047], [0.000, 0.000, 0.000], [0.250, 0.750, 0.500]]}

***

{"formula": "Hf2AlBSe", "functional": "SCAN", "state": "PBEsol geometry", "dos_at_fermi_per_ev_atom": 0.660, "magmom_total_mub_per_atom": 0.00, "sg": "P4/mmm", "total_energy_ev_per_atom": -31.906, "raw_formation_energy_ev_per_atom": 0.22, "lattice_angstrom": [[4.316, 0.000, 0.000], [0.000, 4.572, 0.000], [0.000, 0.000, 4.572]], "species": ["B", "Hf", "Hf", "Al", "Se"], "fractional_positions": [[0.000, 0.000, 0.000], [0.000, 0.000, 0.500], [0.000, 0.500, 0.000], [0.500, 0.500, 0.500], [0.500, 0.000, 0.000]]}